VASP calculation (PBE-GGA) on a relaxed SiO crystal.

Computed properties:
The space group is No. 87. The uncorrected formation energy comes out at -1.63 eV per atom.

Lattice parameters (Å, degrees): 9.1872 9.1872 2.7613 90.00 90.00 90.00
Atoms (fractional coordinates):
Si1 0.0583 0.1752 0.0000
Si2 0.1752 0.9417 0.0000
Si3 0.3248 0.5583 0.5000
Si4 0.4417 0.3248 0.5000
Si5 0.5583 0.6752 0.5000
Si6 0.6752 0.4417 0.5000
Si7 0.8248 0.0583 0.0000
Si8 0.9417 0.8248 0.0000
O1 0.0933 0.2738 0.5000
O2 0.2262 0.5933 0.0000
O3 0.2738 0.9067 0.5000
O4 0.4067 0.2262 0.0000
O5 0.5933 0.7738 0.0000
O6 0.7262 0.0933 0.5000
O7 0.7738 0.4067 0.0000
O8 0.9067 0.7262 0.5000



VASP calculation (PBE-GGA) on a relaxed Np2Tl3RhSe6 crystal.

Computed properties:
The space group is No. 12. The uncorrected formation energy comes out at -0.69 eV per atom.

Lattice parameters (Å, degrees): 6.8890 6.8890 8.2816 98.05 98.05 120.42
Atoms (fractional coordinates):
Np1 0.1638 0.8362 0.0000
Np2 0.8362 0.1638 0.0000
Tl1 0.0000 0.0000 0.5000
Tl2 0.3226 0.6774 0.5000
Tl3 0.6774 0.3226 0.5000
Rh1 0.5000 0.5000 0.0000
Se1 0.1257 0.4370 0.8058
Se2 0.2597 0.2597 0.2052
Se3 0.4370 0.1257 0.8058
Se4 0.5630 0.8743 0.1942
Se5 0.7403 0.7403 0.7948
Se6 0.8743 0.5630 0.1942



VASP calculation (PBE-GGA) on a relaxed PrGa2Ni6 crystal.

Computed properties:
The calculation puts the energy of formation at 190 meV per atom. The space group is No. 227.

Lattice parameters (Å, degrees): 7.5105 7.5105 7.5105 60.00 60.00 60.00
Atoms (fractional coordinates):
Pr1 0.1250 0.1250 0.1250
Pr2 0.8750 0.8750 0.8750
Ga1 0.0000 0.5000 0.5000
Ga2 0.5000 0.0000 0.5000
Ga3 0.5000 0.5000 0.0000
Ga4 0.5000 0.5000 0.5000
Ni1 0.1234 0.1234 0.6266
Ni2 0.1234 0.6266 0.1234
Ni3 0.1234 0.6266 0.6266
Ni4 0.3734 0.3734 0.8766
Ni5 0.3734 0.8766 0.3734
Ni6 0.3734 0.8766 0.8766
Ni7 0.6266 0.1234 0.1234
Ni8 0.6266 0.1234 0.6266
Ni9 0.6266 0.6266 0.1234
Ni10 0.8766 0.3734 0.3734
Ni11 0.8766 0.3734 0.8766
Ni12 0.8766 0.8766 0.3734



DOS(E_F)? In order: 0.49; 1.71; 0.34 states/eV/atom.